[1]
A plane-wave DFT calculation with PBE was carried out for crystalline RbMnOs3 at its relaxed geometry.

Results
The formation enthalpy at 0 K comes out at 4.44 eV/atom. Its calculated volume is 20.2 Å³/atom. The value obtained for the raw total energy is -21.636 eV per formula unit. As for the symmetry: Pm-3m, No. 221.

a = 4.656 Å, b = 4.656 Å, c = 4.656 Å
α = 90.00°, β = 90.00°, γ = 90.00°
Fractional coordinates of all 5 atoms:
Os (0.000, 0.500, 0.000)
Os (0.500, 0.000, 0.000)
Os (0.000, 0.000, 0.500)
Mn (0.500, 0.500, 0.500)
Rb (0.000, 0.000, 0.000)



[2]
A plane-wave DFT calculation with PBE was carried out for crystalline SmDy2Er7 at its relaxed geometry.

Results
The formation enthalpy at 0 K comes out at 0.71 eV/atom. Its calculated volume is 38.5 Å³/atom. The value obtained for the raw total energy is -38.755 eV per formula unit. As for the symmetry: Cmmm, No. 65.

a = 5.389 Å, b = 9.321 Å, c = 9.321 Å
α = 124.61°, β = 90.00°, γ = 90.00°
Fractional coordinates of all 10 atoms:
Er (0.000, 0.205, 0.795)
Er (0.500, 0.290, 0.064)
Er (0.000, 0.795, 0.205)
Er (0.500, 0.936, 0.710)
Er (0.500, 0.500, 0.500)
Er (0.500, 0.710, 0.936)
Er (0.500, 0.064, 0.290)
Sm (0.000, 0.000, 0.000)
Dy (0.500, 0.702, 0.298)
Dy (0.500, 0.298, 0.702)



Please write out number 2 again, unchanged.
A plane-wave DFT calculation with PBE was carried out for crystalline SmDy2Er7 at its relaxed geometry.

Results
The formation enthalpy at 0 K comes out at 0.71 eV/atom. Its calculated volume is 38.5 Å³/atom. The value obtained for the raw total energy is -38.755 eV per formula unit. As for the symmetry: Cmmm, No. 65.

a = 5.389 Å, b = 9.321 Å, c = 9.321 Å
α = 124.61°, β = 90.00°, γ = 90.00°
Fractional coordinates of all 10 atoms:
Er (0.000, 0.205, 0.795)
Er (0.500, 0.290, 0.064)
Er (0.000, 0.795, 0.205)
Er (0.500, 0.936, 0.710)
Er (0.500, 0.500, 0.500)
Er (0.500, 0.710, 0.936)
Er (0.500, 0.064, 0.290)
Sm (0.000, 0.000, 0.000)
Dy (0.500, 0.702, 0.298)
Dy (0.500, 0.298, 0.702)



- Which formula does entry 1 have?
  RbMnOs3